No. 1
VASP calculation (PBE) on La2AlP after structural relaxation.

Calculated volume in Å³ per atom: 25.86
Raw total energy in eV/atom: -5.285
Fermi-level density of states in states/eV per cell: 6.14
Total magnetization in Bohr magnetons per cell: 0.00
Offset from the most stable computed form in meV per atom: 299
Symmetry: Fm-3m (225)

Lattice parameters (Å, degrees): 5.2692 5.2692 5.2692 60.00 60.00 60.00
Fractional coordinates of all 4 atoms:
P: 0.5000 0.5000 0.5000
Al: 0.0000 0.0000 0.0000
La: 0.2500 0.2500 0.2500
La: 0.7500 0.7500 0.7500

No. 2
VASP calculation (PBE) on MgNbCr after structural relaxation.

Calculated volume in Å³ per atom: 16.95
Raw total energy in eV/atom: -6.856
Fermi-level density of states in states/eV per cell: 12.09
Total magnetization in Bohr magnetons per cell: 0.00
Offset from the most stable computed form in meV per atom: 0
Symmetry: C2/m (12)

Lattice parameters (Å, degrees): 2.9328 4.6693 14.8557 90.00 90.55 90.00
Fractional coordinates of all 12 atoms:
Mg: 0.7446 0.0000 0.7197
Mg: 0.2554 0.0000 0.2803
Mg: 0.7446 0.5000 0.2197
Mg: 0.2554 0.5000 0.7803
Nb: 0.2314 0.0000 0.9165
Nb: 0.7686 0.0000 0.0835
Nb: 0.2314 0.5000 0.4165
Nb: 0.7686 0.5000 0.5835
Cr: 0.2503 0.0000 0.5559
Cr: 0.7497 0.0000 0.4441
Cr: 0.2503 0.5000 0.0559
Cr: 0.7497 0.5000 0.9441

No. 3
VASP calculation (PBE) on Ta2MoHOs after structural relaxation.

Calculated volume in Å³ per atom: 13.83
Raw total energy in eV/atom: -9.943
Fermi-level density of states in states/eV per cell: 3.06
Total magnetization in Bohr magnetons per cell: 0.00
Offset from the most stable computed form in meV per atom: 0
Symmetry: P4/mmm (123)

Lattice parameters (Å, degrees): 4.4506 4.4506 3.4901 90.00 90.00 90.00
Fractional coordinates of all 5 atoms:
H: 0.0000 0.0000 0.0000
Mo: 0.5000 0.5000 0.5000
Os: 0.0000 0.0000 0.5000
Ta: 0.0000 0.5000 0.0000
Ta: 0.5000 0.0000 0.0000

No. 4
VASP calculation (PBE) on RbCdTcPd2 after structural relaxation.

Calculated volume in Å³ per atom: 29.94
Raw total energy in eV/atom: -2.541
Fermi-level density of states in states/eV per cell: 6.24
Total magnetization in Bohr magnetons per cell: 4.08
Symmetry: P4/mmm (123)

Lattice parameters (Å, degrees): 5.0863 5.7860 5.0863 90.00 90.00 90.00
Each line ends with the local moment (μB).
Fractional coordinates of all 5 atoms:
Rb: 0.0000 0.0000 0.0000  -0.01
Tc: 0.5000 0.5000 0.5000  3.60
Pd: 0.0000 0.0000 0.5000  0.02
Pd: 0.5000 0.0000 0.0000  0.08
Cd: 0.0000 0.5000 0.0000  -0.02

No. 5
VASP calculation (PBE) on Pm4Bi2AsSe after structural relaxation.

Calculated volume in Å³ per atom: 30.10
Raw total energy in eV/atom: -5.671
Fermi-level density of states in states/eV per cell: 1.64
ΔE_f (raw) in eV/atom: -1.309
Total magnetization in Bohr magnetons per cell: 0.00
Symmetry: P2/m (10)

Lattice parameters (Å, degrees): 4.3887 7.6562 7.5920 70.73 90.00 90.00
Fractional coordinates of all 8 atoms:
Pm: 0.0000 0.7320 0.7514
Pm: 0.0000 0.2680 0.2486
Pm: 0.5000 0.7292 0.2609
Pm: 0.5000 0.2708 0.7391
Bi: 0.0000 0.0000 0.0000
Bi: 0.5000 0.0000 0.5000
As: 0.0000 0.5000 0.5000
Se: 0.5000 0.5000 0.0000

No. 6
VASP calculation (PBE) on Fe5Ni3 after structural relaxation.

Calculated volume in Å³ per atom: 11.51
Raw total energy in eV/atom: -7.466
Fermi-level density of states in states/eV per cell: 7.66
Total magnetization in Bohr magnetons per cell: 15.22
Offset from the most stable computed form in meV per atom: 0
Symmetry: Cmmm (65)

Lattice parameters (Å, degrees): 5.0791 5.0791 3.5711 90.00 90.00 91.44
Each line ends with the local moment (μB).
Fractional coordinates of all 8 atoms:
Fe: 0.0000 0.0000 0.0000  2.63
Fe: 0.0000 0.5000 0.0000  2.66
Fe: 0.5000 0.0000 0.0000  2.66
Fe: 0.7417 0.2583 0.5000  2.67
Fe: 0.2583 0.7417 0.5000  2.67
Ni: 0.5000 0.5000 0.0000  0.72
Ni: 0.2482 0.2482 0.5000  0.72
Ni: 0.7518 0.7518 0.5000  0.72

Question: The lowest raw total energy belongs to which entry?
Answer: Ta2MoHOs

Question: total magnetization of number 6 (Fe5Ni3)?
Answer: 15.22 Bohr magnetons per cell

Question: What is the formula in the fourth record?
Answer: RbCdTcPd2